[1]
The following is a PBE-GGA calculation of a relaxed structure of HfMgRu2, from Alexandria via LeMat-Bulk.

a = 4.4595 Å, b = 4.4595 Å, c = 3.2418 Å
α = 90.00°, β = 90.00°, γ = 90.00°
With the nearest neighbours (Å) after each atom.
Fractional positions:
Hf (0.0000, 0.0000, 0.0000)  8 Ru 2.76
Mg (0.5000, 0.5000, 0.0000)  8 Ru 2.76
Ru (0.0000, 0.5000, 0.5000)  4 Hf 2.76, 4 Mg 2.76
Ru (0.5000, 0.0000, 0.5000)  4 Hf 2.76, 4 Mg 2.76

Summary:
The calculation puts the energy of formation from the pure elements at -1.4 eV/f.u. The value obtained for the density is 10.4 g cm⁻³. The total magnetization is 0.00 Bohr magnetons per cell. The density of states at the Fermi level is 5.313 states/eV/f.u. The total energy is -7.881 eV per atom. As for the crystal system: tetragonal.



[2]
The following is a PBE-GGA calculation of a relaxed structure of MgMnAl2, from Alexandria via LeMat-Bulk.

a = 4.9717 Å, b = 4.9717 Å, c = 4.9717 Å
α = 134.56°, β = 134.56°, γ = 66.22°
With the nearest neighbours (Å) after each atom.
Fractional positions:
Mg (0.0000, 0.0000, 0.0000)  8 Al 2.72-2.83, 4 Mn 2.83
Mn (0.7500, 0.2500, 0.5000)  8 Al 2.72-2.83, 4 Mg 2.83
Al (0.2500, 0.7500, 0.5000)  4 Mn 2.72, 4 Mg 2.83, 4 Al 2.83
Al (0.5000, 0.5000, 0.0000)  4 Mg 2.72, 4 Mn 2.83, 4 Al 2.83

Summary:
The calculation puts the energy of formation from the pure elements at -0.1 eV/f.u. The value obtained for the density is 3.6 g cm⁻³. The total magnetization is 1.75 Bohr magnetons per cell. The density of states at the Fermi level is 2.713 states/eV/f.u. The total energy is -4.576 eV per atom. As for the crystal system: tetragonal.



[3]
The following is a PBE-GGA calculation of a relaxed structure of SrPmInGa, from Alexandria via LeMat-Bulk.

a = 5.4722 Å, b = 5.4722 Å, c = 5.4722 Å
α = 60.00°, β = 60.00°, γ = 60.00°
With the nearest neighbours (Å) after each atom.
Fractional positions:
Sr (0.0000, 0.0000, 0.0000)  4 In 3.35, 4 Ga 3.35
Pm (0.5000, 0.5000, 0.5000)  4 In 3.35, 4 Ga 3.35
In (0.7500, 0.7500, 0.7500)  4 Pm 3.35, 4 Sr 3.35
Ga (0.2500, 0.2500, 0.2500)  4 Pm 3.35, 4 Sr 3.35

Summary:
The calculation puts the energy of formation from the pure elements at -1.5 eV/f.u. The value obtained for the density is 6.0 g cm⁻³. The total magnetization is 0.00 Bohr magnetons per cell. The density of states at the Fermi level is 2.994 states/eV/f.u. The total energy is -3.436 eV per atom. As for the crystal system: cubic.



[4]
The following is a PBE-GGA calculation of a relaxed structure of Ba2HfRh, from Alexandria via LeMat-Bulk.

a = 8.8092 Å, b = 8.8092 Å, c = 8.8092 Å
α = 94.49°, β = 94.49°, γ = 147.51°
With the nearest neighbours (Å) after each atom.
Fractional positions:
Ba (0.3750, 0.2133, 0.3383)  2 Rh 3.23
Ba (0.7867, 0.1250, 0.1617)  2 Rh 3.23
Ba (0.8750, 0.0367, 0.6617)  2 Rh 3.23
Ba (0.9633, 0.6250, 0.8383)  2 Rh 3.23
Hf (0.2500, 0.7500, 0.5000)  2 Rh 2.46
Hf (0.5000, 0.5000, 0.0000)  2 Rh 2.46
Rh (0.0000, 0.0000, 0.0000)  2 Hf 2.46
Rh (0.7500, 0.2500, 0.5000)  2 Hf 2.46

Summary:
The calculation puts the energy of formation from the pure elements at 1.1 eV/f.u. The value obtained for the density is 5.2 g cm⁻³. The total magnetization is 0.00 Bohr magnetons per cell. For the excess energy over the best structure of this formula in the dataset, the calculation gives 0.0 kJ/mol of atoms. The density of states at the Fermi level is 5.514 states/eV/f.u. The total energy is -5.020 eV per atom. As for the crystal system: tetragonal.



[5]
The following is a PBE-GGA calculation of a relaxed structure of DyCdGa2, from Alexandria via LeMat-Bulk.

a = 7.7667 Å, b = 4.1723 Å, c = 10.5811 Å
α = 90.00°, β = 90.00°, γ = 90.00°
With the nearest neighbours (Å) after each atom.
Fractional positions:
Dy (0.1423, 0.2500, 0.1387)  9 Ga 3.03-3.38
Dy (0.3577, 0.7500, 0.6387)  9 Ga 3.03-3.38
Dy (0.6423, 0.2500, 0.3613)  9 Ga 3.03-3.38
Dy (0.8577, 0.7500, 0.8613)  9 Ga 3.03-3.38
Cd (0.0069, 0.7500, 0.3904)  5 Ga 2.63-2.93
Cd (0.4931, 0.2500, 0.8904)  5 Ga 2.63-2.93
Cd (0.5069, 0.7500, 0.1096)  5 Ga 2.63-2.93
Cd (0.9931, 0.2500, 0.6096)  5 Ga 2.63-2.93
Ga (0.1406, 0.2500, 0.8336)  2 Ga 2.50, 1 Cd 2.63
Ga (0.2377, 0.7500, 0.9429)  2 Ga 2.50, 1 Cd 2.74
Ga (0.2623, 0.2500, 0.4429)  2 Ga 2.50, 1 Cd 2.74
Ga (0.3594, 0.7500, 0.3336)  2 Ga 2.50, 1 Cd 2.63
Ga (0.6407, 0.2500, 0.6664)  2 Ga 2.50, 1 Cd 2.63
Ga (0.7377, 0.7500, 0.5571)  2 Ga 2.50, 1 Cd 2.74
Ga (0.7623, 0.2500, 0.0571)  2 Ga 2.50, 1 Cd 2.74
Ga (0.8594, 0.7500, 0.1664)  2 Ga 2.50, 1 Cd 2.63

Summary:
The calculation puts the energy of formation from the pure elements at -1.7 eV/f.u. The value obtained for the density is 8.0 g cm⁻³. The total magnetization is 0.00 Bohr magnetons per cell. For the excess energy over the best structure of this formula in the dataset, the calculation gives 0.7 kJ/mol of atoms. The density of states at the Fermi level is 1.612 states/eV/f.u. The total energy is -3.313 eV per atom. As for the crystal system: orthorhombic.



[6]
The following is a PBE-GGA calculation of a relaxed structure of ZnSi2I, from Alexandria via LeMat-Bulk.

a = 7.4659 Å, b = 7.4659 Å, c = 7.4659 Å
α = 132.54°, β = 132.54°, γ = 69.37°
With the nearest neighbours (Å) after each atom.
Fractional positions:
Zn (0.0000, 0.0000, 0.0000)  4 Si 2.36
Zn (0.7500, 0.2500, 0.5000)  4 Si 2.36
Si (0.0390, 0.6250, 0.9140)  2 Zn 2.36
Si (0.3750, 0.2890, 0.4140)  2 Zn 2.36
Si (0.7110, 0.1250, 0.0860)  2 Zn 2.36
Si (0.8750, 0.9610, 0.5860)  2 Zn 2.36
I (0.2500, 0.7500, 0.5000)  4 Si 2.95
I (0.5000, 0.5000, 0.0000)  4 Si 2.95

Summary:
The value obtained for the density is 3.7 g cm⁻³. The total magnetization is 0.00 Bohr magnetons per cell. For the excess energy over the best structure of this formula in the dataset, the calculation gives 0.0 kJ/mol of atoms. The calculation puts the raw formation energy at 0.676 eV per atom. The density of states at the Fermi level is 3.037 states/eV/f.u. The total energy is -2.741 eV per atom. As for the crystal system: tetragonal.



[7]
The following is a PBE-GGA calculation of a relaxed structure of Tb2Pr6SmTm3, from Alexandria via LeMat-Bulk.

a = 6.3029 Å, b = 6.3029 Å, c = 11.8751 Å
α = 95.07°, β = 95.07°, γ = 120.00°
With the nearest neighbours (Å) after each atom.
Fractional positions:
Tb (0.1666, 0.8334, 0.0000)  6 Pr 3.62-3.63, 3 Tb 3.64, 3 Sm 3.64
Tb (0.8334, 0.1666, 0.0000)  6 Pr 3.62-3.63, 3 Tb 3.64, 3 Sm 3.64
Pr (0.0819, 0.4156, 0.7473)  3 Tm 3.57, 2 Tb 3.62-3.63, 1 Sm 3.63, 6 Pr 3.64
Pr (0.2508, 0.2508, 0.2527)  3 Tm 3.57, 2 Tb 3.62, 1 Sm 3.62, 6 Pr 3.64
Pr (0.4156, 0.0819, 0.7473)  3 Tm 3.57, 2 Tb 3.62-3.63, 1 Sm 3.63, 6 Pr 3.64
Pr (0.5844, 0.9181, 0.2527)  3 Tm 3.57, 2 Tb 3.62-3.63, 1 Sm 3.63, 6 Pr 3.64
Pr (0.7492, 0.7492, 0.7473)  3 Tm 3.57, 2 Tb 3.62, 1 Sm 3.62, 6 Pr 3.64
Pr (0.9181, 0.5844, 0.2527)  3 Tm 3.57, 2 Tb 3.62-3.63, 1 Sm 3.63, 6 Pr 3.64
Sm (0.5000, 0.5000, 0.0000)  6 Pr 3.62-3.63, 6 Tb 3.64
Tm (0.0000, 0.0000, 0.5000)  6 Pr 3.57, 6 Tm 3.64
Tm (0.3332, 0.6668, 0.5000)  6 Pr 3.57, 6 Tm 3.64
Tm (0.6668, 0.3332, 0.5000)  6 Pr 3.57, 6 Tm 3.64

Summary:
The calculation puts the energy of formation from the pure elements at 0.2 eV/f.u. The value obtained for the density is 7.5 g cm⁻³. The total magnetization is 0.00 Bohr magnetons per cell. The density of states at the Fermi level is 13.006 states/eV/f.u. The total energy is -4.659 eV per atom. As for the crystal system: monoclinic.



[8]
The following is a PBE-GGA calculation of a relaxed structure of Tb3Pm2Nd4, from Alexandria via LeMat-Bulk.

a = 8.9442 Å, b = 8.9442 Å, c = 9.8798 Å
α = 99.82°, β = 99.82°, γ = 23.09°
With the nearest neighbours (Å) after each atom.
Fractional positions:
Tb (0.0000, 0.0000, 0.0000)  2 Tb 3.58, 8 Nd 3.73-3.75, 4 Pm 3.91
Tb (0.1618, 0.1618, 0.5434)  7 Nd 3.51-3.73, 4 Tb 3.58-3.80, 2 Pm 3.74
Tb (0.8382, 0.8382, 0.4566)  7 Nd 3.51-3.73, 4 Tb 3.58-3.80, 2 Pm 3.74
Pm (0.3255, 0.3255, 0.1211)  4 Nd 3.38-3.62, 4 Pm 3.58-3.70, 2 Tb 3.74
Pm (0.6745, 0.6745, 0.8789)  4 Nd 3.38-3.62, 4 Pm 3.58-3.70, 2 Tb 3.74
Nd (0.3358, 0.3358, 0.7801)  3 Nd 3.26-3.58, 3 Pm 3.41-3.62, 1 Tb 3.51
Nd (0.4995, 0.4995, 0.3314)  4 Nd 3.26-3.58, 1 Pm 3.38
Nd (0.5005, 0.5005, 0.6686)  4 Nd 3.26-3.58, 1 Pm 3.38
Nd (0.6642, 0.6642, 0.2199)  3 Nd 3.26-3.58, 3 Pm 3.41-3.62, 1 Tb 3.51

Summary:
The calculation puts the energy of formation from the pure elements at 0.4 eV/f.u. The value obtained for the density is 7.3 g cm⁻³. The total magnetization is 0.00 Bohr magnetons per cell. For the excess energy over the best structure of this formula in the dataset, the calculation gives 0.0 kJ/mol of atoms. The density of states at the Fermi level is 13.867 states/eV/f.u. The total energy is -4.671 eV per atom. As for the crystal system: monoclinic.